No. 1
The following is a DFT calculation (PBE) of a relaxed KAcSe2 crystal.

abc: 6.3772 6.3772 8.0895
angles: 113.21 113.21 90.00
Sites, in units of the cell vectors:
K (0.2500, 0.7500, 0.5000)
Se (0.7695, 0.7695, 0.5390)
Ac (0.0000, 0.0000, 0.0000)
Se (0.9805, 0.4805, 0.9610)
Ac (0.7500, 0.2500, 0.5000)
Se (0.5195, 0.0195, 0.0390)
K (0.5000, 0.5000, 0.0000)
Se (0.2305, 0.2305, 0.4610)

Properties
- Energy relative to the elements, uncorrected: -1.77 eV/atom
- Mass density: 5.16 g/cm3

***

No. 2
The following is a DFT calculation (PBE) of a relaxed KAc5Se6 crystal.

abc: 7.7874 7.7708 7.7629
angles: 59.97 80.44 70.62
Sites, in units of the cell vectors:
Ac (0.5000, 0.5000, 0.0000)
Se (0.7459, 0.4226, 0.6620)
Se (0.2479, 0.2540, 0.0000)
Se (0.2541, 0.9154, 0.6620)
Se (0.7459, 0.0846, 0.3380)
Ac (0.0000, 0.3336, 0.3329)
Ac (0.0000, 0.6664, 0.6671)
Ac (0.5000, 0.8367, 0.3266)
Ac (0.5000, 0.1633, 0.6734)
Se (0.2541, 0.5774, 0.3380)
Se (0.7521, 0.7460, 0.0000)
K (0.0000, 0.0000, 0.0000)

Properties
- Energy relative to the elements, uncorrected: -1.83 eV/atom
- Mass density: 7.13 g/cm3